A relaxed structure of Mg2SiP2Rh5. Source: Alexandria, functional PBE.

Output
DOS(E_F): 8.32 states/eV per cell
Energy relative to the elements, uncorrected: -66.1 kJ per mole of atoms
Total magnetization: 0.00 μB/f.u.
Space group: P4/mbm (127)
Volume: 289 Å³ per cell
Total DFT energy (no corrections): -6.304 eV per atom

a b c (Å): 3.3721 9.2616 9.2616
angles (deg): 90.00 90.00 90.00
With the nearest neighbours (Å) after each atom.
Atoms (fractional coordinates):
Mg 0.0000 0.6713 0.1713  3 P 2.61-2.81, 6 Rh 2.81-2.92
Mg 0.0000 0.3287 0.8287  3 P 2.61-2.81, 6 Rh 2.81-2.92
Mg 0.0000 0.1713 0.3287  3 P 2.61-2.81, 6 Rh 2.81-2.92
Mg 0.0000 0.8287 0.6713  3 P 2.61-2.81, 6 Rh 2.81-2.92
Si 0.0000 0.0000 0.0000  8 Rh 2.62
Si 0.0000 0.5000 0.5000  8 Rh 2.62
P 0.0000 0.1294 0.6294  6 Rh 2.34-2.39, 1 Mg 2.61
P 0.0000 0.8706 0.3706  6 Rh 2.34-2.39, 1 Mg 2.61
P 0.0000 0.6294 0.8706  6 Rh 2.34-2.39, 1 Mg 2.61
P 0.0000 0.3706 0.1294  6 Rh 2.34-2.39, 1 Mg 2.61
Rh 0.5000 0.2040 0.0733  2 P 2.34, 2 Si 2.62
Rh 0.5000 0.7960 0.9267  2 P 2.34, 2 Si 2.62
Rh 0.5000 0.0733 0.7960  2 P 2.34, 2 Si 2.62
Rh 0.5000 0.7040 0.4267  2 P 2.34, 2 Si 2.62
Rh 0.5000 0.9267 0.2040  2 P 2.34, 2 Si 2.62
Rh 0.5000 0.2960 0.5733  2 P 2.34, 2 Si 2.62
Rh 0.5000 0.5733 0.7040  2 P 2.34, 2 Si 2.62
Rh 0.5000 0.4267 0.2960  2 P 2.34, 2 Si 2.62
Rh 0.5000 0.5000 0.0000  4 P 2.39
Rh 0.5000 0.0000 0.5000  4 P 2.39

---

A relaxed structure of FeCo3Cu. Source: Alexandria, functional PBE.

Output
DOS(E_F): 7.80 states/eV per cell
Total magnetization: 7.88 μB/f.u.
Space group: Pm-3m (221)
Volume: 77 Å³ per cell
Total DFT energy (no corrections): -5.532 eV per atom
Energy of formation from the pure elements: 1.24 eV per atom
E above lowest polymorph: 0.000 eV/atom

a b c (Å): 4.2577 4.2577 4.2577
angles (deg): 90.00 90.00 90.00
With the nearest neighbours (Å) after each atom.
Atoms (fractional coordinates):
Co 0.0000 0.5000 0.0000  2 Fe 2.13
Co 0.0000 0.0000 0.5000  2 Fe 2.13
Co 0.5000 0.0000 0.0000  2 Fe 2.13
Fe 0.0000 0.0000 0.0000  6 Co 2.13
Cu 0.5000 0.5000 0.5000  12 Co 3.01

---

A relaxed structure of K3NaTe2. Source: Alexandria, functional PBE.

Output
DOS(E_F): 0.00 states/eV per cell
Energy relative to the elements, uncorrected: -94.8 kJ per mole of atoms
Total magnetization: 0.00 μB/f.u.
Space group: Ibam (72)
Volume: 485 Å³ per cell
Total DFT energy (no corrections): -2.798 eV per atom

a b c (Å): 7.9599 7.1724 10.0414
angles (deg): 110.92 113.35 90.00
With the nearest neighbours (Å) after each atom.
Atoms (fractional coordinates):
K 0.3806 0.6823 0.3645  4 Te 3.49-3.77
K 0.6194 0.3177 0.6355  4 Te 3.49-3.77
K 0.0160 0.8177 0.6355  4 Te 3.49-3.77
K 0.9840 0.1823 0.3645  4 Te 3.49-3.77
K 0.5000 0.7500 0.0000  4 Te 3.45, 2 K 3.59
K 0.5000 0.2500 0.0000  4 Te 3.45, 2 K 3.59
Na 0.0000 0.2500 0.0000  4 Te 3.20
Na 0.0000 0.7500 0.0000  4 Te 3.20
Te 0.3389 0.1155 0.2310  2 Na 3.20, 4 K 3.45-3.54
Te 0.6611 0.8845 0.7690  2 Na 3.20, 4 K 3.45-3.54
Te 0.1079 0.3845 0.7690  2 Na 3.20, 4 K 3.45-3.54
Te 0.8921 0.6155 0.2310  2 Na 3.20, 4 K 3.45-3.54

---

A relaxed structure of KCl. Source: Alexandria, functional PBE.

Output
DOS(E_F): 0.00 states/eV per cell
Energy relative to the elements, uncorrected: -185.7 kJ per mole of atoms
Total magnetization: 0.00 μB/f.u.
Space group: P6_3/mmc (194)
Volume: 130 Å³ per cell
Total DFT energy (no corrections): -3.397 eV per atom

a b c (Å): 4.4002 4.4002 7.7650
angles (deg): 90.00 90.00 120.00
With the nearest neighbours (Å) after each atom.
Atoms (fractional coordinates):
K 0.3333 0.6667 0.7500  6 Cl 3.20
K 0.6667 0.3333 0.2500  6 Cl 3.20
Cl 0.0000 0.0000 0.0000  6 K 3.20
Cl 0.0000 0.0000 0.5000  6 K 3.20

---

- DOS(E_F) of number 2 (FeCo3Cu)?
  7.80 states/eV per cell

---

- Which value of DOS(E_F) does entry 4 give?
  0.00 states/eV per cell

---

- Which formula does entry 4 have?
  KCl